Entry 1:
CsErNiTe3 | PBE-GGA | relaxed

Calculated values
VASP energy = -4.29 eV/atom
total moment = 5.59 Bohr magnetons per cell

```
data_CsErNiTe3
_chemical_formula_sum 'Cs4 Er4 Ni4 Te12'
_cell_length_a 11.417
_cell_length_b 4.265
_cell_length_c 16.979
_cell_angle_alpha 90.00
_cell_angle_beta 90.00
_cell_angle_gamma 90.00
_space_group_name_H-M_alt 'P n m a'
_space_group_IT_number 62
loop_
_space_group_symop_operation_xyz
'x,y,z'
'-x,-y,-z'
'-x+1/2,-y,z+1/2'
'x+1/2,y,-z+1/2'
'x+1/2,-y+1/2,-z+1/2'
'-x+1/2,y+1/2,z+1/2'
'-x,y+1/2,-z'
'x,-y+1/2,z'
loop_
_atom_site_label
_atom_site_fract_x
_atom_site_fract_y
_atom_site_fract_z
Cs1 0.246 0.250 0.009
Er1 0.002 0.750 0.251
Ni1 0.249 0.750 0.784
Te1 0.063 0.750 0.869
Te2 0.067 0.250 0.372
Te3 0.249 0.250 0.697
```

***

Entry 2:
RbCuReTe3 | PBE-GGA | relaxed

Calculated values
VASP energy = -4.50 eV/atom
total moment = 7.92 Bohr magnetons per cell

```
data_RbCuReTe3
_chemical_formula_sum 'Rb4 Cu4 Re4 Te12'
_cell_length_a 3.985
_cell_length_b 16.681
_cell_length_c 10.473
_cell_angle_alpha 90.00
_cell_angle_beta 90.00
_cell_angle_gamma 90.00
_space_group_name_H-M_alt 'C m c m'
_space_group_IT_number 63
_space_group_name_Hall '-C 2c 2'
loop_
_atom_site_label
_atom_site_fract_x
_atom_site_fract_y
_atom_site_fract_z
Rb1 0.000 0.241 0.250
Cu1 0.000 0.465 0.750
Re1 0.000 0.000 0.000
Te1 0.000 0.065 0.750
Te2 0.000 0.389 0.539
```

***

Entry 3:
PmPrPO | PBE-GGA | relaxed

Calculated values
VASP energy = -6.76 eV/atom
total moment = 0.03 Bohr magnetons per cell

```
data_PmPrPO
_chemical_formula_sum 'Pm2 Pr2 P2 O2'
_cell_length_a 4.404
_cell_length_b 4.404
_cell_length_c 9.064
_cell_angle_alpha 90.00
_cell_angle_beta 90.00
_cell_angle_gamma 90.00
_space_group_name_H-M_alt 'P 4/n m m'
_space_group_IT_number 129
loop_
_space_group_symop_operation_xyz
'x,y,z'
'-x,-y,-z'
'-y+1/2,x,z'
'y+1/2,-x,-z'
'-x+1/2,-y+1/2,z'
'x+1/2,y+1/2,-z'
'y,-x+1/2,z'
'-y,x+1/2,-z'
'x+1/2,-y,-z'
'-x+1/2,y,z'
'-y,-x,-z'
'y,x,z'
'-x,y+1/2,-z'
'x,-y+1/2,z'
'y+1/2,x+1/2,-z'
'-y+1/2,-x+1/2,z'
loop_
_atom_site_label
_atom_site_fract_x
_atom_site_fract_y
_atom_site_fract_z
Pm1 0.250 0.250 0.102
Pr1 0.250 0.750 0.500
P1 0.250 0.250 0.706
O1 0.250 0.750 0.000
```

***

Entry 4:
KTcAuO3 | PBE-GGA | relaxed

Calculated values
VASP energy = -6.03 eV/atom
total moment = 0.40 Bohr magnetons per cell

```
data_KTcAuO3
_chemical_formula_sum 'K4 Tc4 Au4 O12'
_cell_length_a 11.724
_cell_length_b 3.049
_cell_length_c 10.638
_cell_angle_alpha 90.00
_cell_angle_beta 90.00
_cell_angle_gamma 90.00
_space_group_name_H-M_alt 'P n m a'
_space_group_IT_number 62
loop_
_space_group_symop_operation_xyz
'x,y,z'
'-x,-y,-z'
'-x+1/2,-y,z+1/2'
'x+1/2,y,-z+1/2'
'x+1/2,-y+1/2,-z+1/2'
'-x+1/2,y+1/2,z+1/2'
'-x,y+1/2,-z'
'x,-y+1/2,z'
loop_
_atom_site_label
_atom_site_fract_x
_atom_site_fract_y
_atom_site_fract_z
K1 0.247 0.250 0.095
Tc1 0.050 0.750 0.370
Au1 0.034 0.750 0.902
O1 0.045 0.750 0.696
O2 0.088 0.250 0.487
O3 0.179 0.750 0.289
```

***

Entry 5:
MgTaSbW | PBE-GGA | relaxed

Calculated values
VASP energy = -7.30 eV/atom
total moment = 0.00 Bohr magnetons per cell

```
data_MgTaSbW
_chemical_formula_sum 'Mg4 Ta4 Sb4 W4'
_cell_length_a 6.601
_cell_length_b 6.601
_cell_length_c 6.601
_cell_angle_alpha 90.00
_cell_angle_beta 90.00
_cell_angle_gamma 90.00
_space_group_name_H-M_alt 'F -4 3 m'
_space_group_IT_number 216
_space_group_name_Hall 'F -4 2 3'
loop_
_atom_site_label
_atom_site_fract_x
_atom_site_fract_y
_atom_site_fract_z
Mg1 0.000 0.000 0.000
Ta1 0.250 0.250 0.250
Sb1 0.250 0.250 0.750
W1 0.000 0.000 0.500
```

***

Entry 6:
K4ErTm | PBE-GGA | relaxed

Calculated values
VASP energy = -1.76 eV/atom
total moment = 1.79 Bohr magnetons per cell

```
data_K4ErTm
_chemical_formula_sum 'K8 Er2 Tm2'
_cell_length_a 7.491
_cell_length_b 3.882
_cell_length_c 21.475
_cell_angle_alpha 90.00
_cell_angle_beta 90.00
_cell_angle_gamma 90.00
_space_group_name_H-M_alt 'A m m 2'
_space_group_IT_number 38
loop_
_space_group_symop_operation_xyz
'x,y,z'
'-x,-y,z'
'-x,y,z'
'x,-y,z'
'x,y+1/2,z+1/2'
'-x,-y+1/2,z+1/2'
'-x,y+1/2,z+1/2'
'x,-y+1/2,z+1/2'
loop_
_atom_site_label
_atom_site_fract_x
_atom_site_fract_y
_atom_site_fract_z
K1 0.000 0.000 0.000
K2 0.000 0.000 0.328
K3 0.000 0.000 0.657
K4 0.500 0.000 0.829
Er1 0.500 0.000 0.144
Tm1 0.500 0.000 0.513
```

***

Entry 7:
ZnSb | PBE-GGA | relaxed

Calculated values
VASP energy = -2.56 eV/atom

```
data_ZnSb
_chemical_formula_sum 'Zn8 Sb8'
_cell_length_a 5.574
_cell_length_b 14.197
_cell_length_c 4.463
_cell_angle_alpha 90.00
_cell_angle_beta 90.00
_cell_angle_gamma 90.00
_space_group_name_H-M_alt 'P m m n'
_space_group_IT_number 59
loop_
_space_group_symop_operation_xyz
'x,y,z'
'-x,-y,-z'
'-x+1/2,-y+1/2,z'
'x+1/2,y+1/2,-z'
'x+1/2,-y,-z'
'-x+1/2,y,z'
'-x,y+1/2,-z'
'x,-y+1/2,z'
loop_
_atom_site_label
_atom_site_fract_x
_atom_site_fract_y
_atom_site_fract_z
Zn1 0.250 0.158 0.095
Zn2 0.250 0.250 0.596
Zn3 0.250 0.750 0.558
Sb1 0.250 0.032 0.577
Sb2 0.250 0.629 0.052
```

***

Entry 8:
NdAlW | PBE-GGA | relaxed

Calculated values
VASP energy = -6.37 eV/atom
total moment = 4.18 Bohr magnetons per cell

```
data_NdAlW
_chemical_formula_sum 'Nd4 Al4 W4'
_cell_length_a 6.574
_cell_length_b 6.574
_cell_length_c 6.574
_cell_angle_alpha 90.00
_cell_angle_beta 90.00
_cell_angle_gamma 90.00
_space_group_name_H-M_alt 'F -4 3 m'
_space_group_IT_number 216
_space_group_name_Hall 'F -4 2 3'
loop_
_atom_site_label
_atom_site_fract_x
_atom_site_fract_y
_atom_site_fract_z
Nd1 0.000 0.000 0.000
Al1 0.250 0.250 0.250
W1 0.000 0.000 0.500
```

***

Entry 9:
Ag2Ge | PBE-GGA | relaxed

Calculated values
VASP energy = -3.29 eV/atom

```
data_Ag2Ge
_chemical_formula_sum 'Ag8 Ge4'
_cell_length_a 5.731
_cell_length_b 4.492
_cell_length_c 8.554
_cell_angle_alpha 90.00
_cell_angle_beta 90.00
_cell_angle_gamma 90.00
_space_group_name_H-M_alt 'P n m a'
_space_group_IT_number 62
loop_
_space_group_symop_operation_xyz
'x,y,z'
'-x,-y,-z'
'-x+1/2,-y,z+1/2'
'x+1/2,y,-z+1/2'
'x+1/2,-y+1/2,-z+1/2'
'-x+1/2,y+1/2,z+1/2'
'-x,y+1/2,-z'
'x,-y+1/2,z'
loop_
_atom_site_label
_atom_site_fract_x
_atom_site_fract_y
_atom_site_fract_z
Ag1 0.040 0.250 0.224
Ag2 0.181 0.250 0.558
Ge1 0.196 0.250 0.884
```

***

Entry 10:
YNiBPt | PBE-GGA | relaxed

Calculated values
VASP energy = -6.23 eV/atom
total moment = 0.00 Bohr magnetons per cell

```
data_YNiBPt
_chemical_formula_sum 'Y4 Ni4 B4 Pt4'
_cell_length_a 6.158
_cell_length_b 6.158
_cell_length_c 6.158
_cell_angle_alpha 90.00
_cell_angle_beta 90.00
_cell_angle_gamma 90.00
_space_group_name_H-M_alt 'F -4 3 m'
_space_group_IT_number 216
_space_group_name_Hall 'F -4 2 3'
loop_
_atom_site_label
_atom_site_fract_x
_atom_site_fract_y
_atom_site_fract_z
Y1 0.000 0.000 0.000
Ni1 0.250 0.250 0.250
B1 0.250 0.250 0.750
Pt1 0.000 0.000 0.500
```

***

Entry 11:
LiLuPbS3 | PBE-GGA | relaxed

Calculated values
VASP energy = -5.14 eV/atom
total moment = 0.01 Bohr magnetons per cell

```
data_LiLuPbS3
_chemical_formula_sum 'Li4 Lu4 Pb4 S12'
_cell_length_a 16.674
_cell_length_b 3.885
_cell_length_c 8.305
_cell_angle_alpha 90.00
_cell_angle_beta 103.93
_cell_angle_gamma 90.00
_space_group_name_H-M_alt 'C 1 2/m 1'
_space_group_IT_number 12
loop_
_space_group_symop_operation_xyz
'x,y,z'
'-x,-y,-z'
'-x,y,-z'
'x,-y,z'
'x+1/2,y+1/2,z'
'-x+1/2,-y+1/2,-z'
'-x+1/2,y+1/2,-z'
'x+1/2,-y+1/2,z'
loop_
_atom_site_label
_atom_site_fract_x
_atom_site_fract_y
_atom_site_fract_z
Li1 0.005 0.000 0.198
Lu1 0.165 0.500 0.084
Pb1 0.135 0.500 0.565
S1 0.000 0.000 0.500
S2 0.000 0.500 0.000
S3 0.169 0.000 0.862
S4 0.172 0.000 0.306
```

***

Entry 12:
TbYTe2 | PBE-GGA | relaxed

Calculated values
VASP energy = -5.65 eV/atom
total moment = 0.00 Bohr magnetons per cell

```
data_TbYTe2
_chemical_formula_sum 'Tb1 Y1 Te2'
_cell_length_a 4.365
_cell_length_b 4.365
_cell_length_c 6.180
_cell_angle_alpha 90.00
_cell_angle_beta 90.00
_cell_angle_gamma 90.00
_space_group_name_H-M_alt 'P 4/m m m'
_space_group_IT_number 123
_space_group_name_Hall '-P 4 2'
loop_
_atom_site_label
_atom_site_fract_x
_atom_site_fract_y
_atom_site_fract_z
Tb1 0.000 0.000 0.000
Y1 0.500 0.500 0.500
Te1 0.000 0.000 0.500
Te2 0.500 0.500 0.000
```

***

Entry 13:
TbY2Ag4Pb4 | PBE-GGA | relaxed

Calculated values
VASP energy = -4.26 eV/atom
total moment = 0.00 Bohr magnetons per cell

```
data_TbY2Ag4Pb4
_chemical_formula_sum 'Tb2 Y4 Ag8 Pb8'
_cell_length_a 4.668
_cell_length_b 7.518
_cell_length_c 15.644
_cell_angle_alpha 90.00
_cell_angle_beta 90.00
_cell_angle_gamma 90.00
_space_group_name_H-M_alt 'I m m m'
_space_group_IT_number 71
_space_group_name_Hall '-I 2 2'
loop_
_atom_site_label
_atom_site_fract_x
_atom_site_fract_y
_atom_site_fract_z
Tb1 0.000 0.000 0.000
Y1 0.000 0.500 0.128
Ag1 0.000 0.301 0.328
Pb1 0.000 0.000 0.214
Pb2 0.000 0.203 0.500
```

***

Entry 14:
Gd3Sn4 | PBE-GGA | relaxed

Calculated values
VASP energy = -4.97 eV/atom
total moment = 0.01 Bohr magnetons per cell

```
data_Gd3Sn4
_chemical_formula_sum 'Gd12 Sn16'
_cell_length_a 4.356
_cell_length_b 11.523
_cell_length_c 15.556
_cell_angle_alpha 90.00
_cell_angle_beta 90.00
_cell_angle_gamma 90.00
_space_group_name_H-M_alt 'C m c m'
_space_group_IT_number 63
_space_group_name_Hall '-C 2c 2'
loop_
_atom_site_label
_atom_site_fract_x
_atom_site_fract_y
_atom_site_fract_z
Gd1 0.000 0.056 0.250
Gd2 0.000 0.333 0.098
Sn1 0.000 0.000 0.000
Sn2 0.000 0.210 0.750
Sn3 0.000 0.377 0.608
```

***

Entry 15:
Ta4SbPC2 | PBE-GGA | relaxed

Calculated values
VASP energy = -9.95 eV/atom
total moment = 0.01 Bohr magnetons per cell

```
data_Ta4SbPC2
_chemical_formula_sum 'Ta4 Sb1 P1 C2'
_cell_length_a 3.3223
_cell_length_b 3.3223
_cell_length_c 12.3446
_cell_angle_alpha 90.00
_cell_angle_beta 90.00
_cell_angle_gamma 120.00
_space_group_name_H-M_alt 'P -6 m 2'
_space_group_IT_number 187
_space_group_name_Hall 'P -6 2'
loop_
_atom_site_label
_atom_site_fract_x
_atom_site_fract_y
_atom_site_fract_z
Ta1 0.0000 0.0000 0.1395
Ta2 0.3333 0.6667 0.3223
Sb1 0.0000 0.0000 0.5000
P1 0.3333 0.6667 0.0000
C1 0.6667 0.3333 0.2354
```

***

Entry 16:
Lu4Ta2Bi3N3 | PBE-GGA | relaxed

Calculated values
VASP energy = -7.37 eV/atom
total moment = 0.02 Bohr magnetons per cell

```
data_Lu4Ta2Bi3N3
_chemical_formula_sum 'Lu16 Ta8 Bi12 N12'
_cell_length_a 10.403
_cell_length_b 6.034
_cell_length_c 14.538
_cell_angle_alpha 90.00
_cell_angle_beta 103.64
_cell_angle_gamma 90.00
_space_group_name_H-M_alt 'C 1 2/c 1'
_space_group_IT_number 15
loop_
_space_group_symop_operation_xyz
'x,y,z'
'-x,-y,-z'
'-x,y,-z+1/2'
'x,-y,z+1/2'
'x+1/2,y+1/2,z'
'-x+1/2,-y+1/2,-z'
'-x+1/2,y+1/2,-z+1/2'
'x+1/2,-y+1/2,z+1/2'
loop_
_atom_site_label
_atom_site_fract_x
_atom_site_fract_y
_atom_site_fract_z
Lu1 0.113 0.083 0.086
Lu2 0.221 0.082 0.414
Ta1 0.056 0.420 0.927
Bi1 0.000 0.101 0.750
Bi2 0.158 0.425 0.249
N1 0.083 0.251 0.500
N2 0.250 0.250 0.000
```

***

Entry 17:
HgBiW | PBE-GGA | relaxed

Calculated values
VASP energy = -4.69 eV/atom
total moment = 0.00 Bohr magnetons per cell

```
data_HgBiW
_chemical_formula_sum 'Hg1 Bi1 W1'
_cell_length_a 5.0469
_cell_length_b 5.0469
_cell_length_c 2.9848
_cell_angle_alpha 90.00
_cell_angle_beta 90.00
_cell_angle_gamma 120.00
_space_group_name_H-M_alt 'P -6 m 2'
_space_group_IT_number 187
_space_group_name_Hall 'P -6 2'
loop_
_atom_site_label
_atom_site_fract_x
_atom_site_fract_y
_atom_site_fract_z
Hg1 0.0000 0.0000 0.0000
Bi1 0.6667 0.3333 0.5000
W1 0.3333 0.6667 0.5000
```

***

Entry 18:
AuO | PBE-GGA | relaxed

Calculated values
VASP energy = -3.67 eV/atom

```
data_AuO
_chemical_formula_sum 'Au4 O4'
_cell_length_a 4.733
_cell_length_b 4.733
_cell_length_c 4.733
_cell_angle_alpha 90.00
_cell_angle_beta 90.00
_cell_angle_gamma 90.00
_space_group_name_H-M_alt 'F m -3 m'
_space_group_IT_number 225
_space_group_name_Hall '-F 4 2 3'
loop_
_atom_site_label
_atom_site_fract_x
_atom_site_fract_y
_atom_site_fract_z
Au1 0.000 0.000 0.000
O1 0.000 0.000 0.500
```

***

Entry 19:
K3Fe2Se4 | PBE-GGA | relaxed

Calculated values
VASP energy = -4.53 eV/atom
total moment = 28.46 Bohr magnetons per cell

```
data_K3Fe2Se4
_chemical_formula_sum 'K12 Fe8 Se16'
_cell_length_a 7.456
_cell_length_b 11.110
_cell_length_c 12.174
_cell_angle_alpha 90.00
_cell_angle_beta 90.00
_cell_angle_gamma 90.00
_space_group_name_H-M_alt 'P n m a'
_space_group_IT_number 62
loop_
_space_group_symop_operation_xyz
'x,y,z'
'-x,-y,-z'
'-x+1/2,-y,z+1/2'
'x+1/2,y,-z+1/2'
'x+1/2,-y+1/2,-z+1/2'
'-x+1/2,y+1/2,z+1/2'
'-x,y+1/2,-z'
'x,-y+1/2,z'
loop_
_atom_site_label
_atom_site_fract_x
_atom_site_fract_y
_atom_site_fract_z
K1 0.078 0.069 0.135
K2 0.089 0.250 0.761
Fe1 0.054 0.132 0.471
Se1 0.083 0.750 0.669
Se2 0.153 0.555 0.391
Se3 0.191 0.750 0.033
```

***

Entry 20:
CdAgSb | PBE-GGA | relaxed

Calculated values
VASP energy = -2.46 eV/atom

```
data_CdAgSb
_chemical_formula_sum 'Cd3 Ag3 Sb3'
_cell_length_a 7.8715
_cell_length_b 7.8715
_cell_length_c 4.0190
_cell_angle_alpha 90.00
_cell_angle_beta 90.00
_cell_angle_gamma 120.00
_space_group_name_H-M_alt 'P -6 2 m'
_space_group_IT_number 189
_space_group_name_Hall 'P -6 -2'
loop_
_atom_site_label
_atom_site_fract_x
_atom_site_fract_y
_atom_site_fract_z
Cd1 0.0000 0.0000 0.0000
Cd2 0.3333 0.6667 0.5000
Ag1 0.0000 0.5954 0.0000
Sb1 0.0000 0.2857 0.5000
```

***

Entry 21:
BaScU | PBE-GGA | relaxed

Calculated values
VASP energy = -5.04 eV/atom
total moment = 22.17 Bohr magnetons per cell

```
data_BaScU
_chemical_formula_sum 'Ba4 Sc4 U4'
_cell_length_a 7.780
_cell_length_b 7.780
_cell_length_c 7.780
_cell_angle_alpha 90.00
_cell_angle_beta 90.00
_cell_angle_gamma 90.00
_space_group_name_H-M_alt 'F -4 3 m'
_space_group_IT_number 216
_space_group_name_Hall 'F -4 2 3'
loop_
_atom_site_label
_atom_site_fract_x
_atom_site_fract_y
_atom_site_fract_z
Ba1 0.000 0.000 0.000
Sc1 0.250 0.250 0.250
U1 0.000 0.000 0.500
```